No. 1
# GaTeF2 | the Alexandria database | GGA-PBEsol | relaxed
# E above lowest polymorph = 534.6 meV/atom
# Uncorrected formation energy = -286 kJ/mol of formula units
# D(E_F) = 3.65 states/eV/f.u.
# Spin magnetization = 0.0 μB/f.u.
# Energy = -54.75 eV per cell
data_GaTeF2
_chemical_formula_sum 'Ga4 Te4 F8'
_cell_length_a 6.285
_cell_length_b 6.285
_cell_length_c 6.285
_cell_angle_alpha 90.00
_cell_angle_beta 90.00
_cell_angle_gamma 90.00
_space_group_name_H-M_alt 'F m -3 m'
_space_group_IT_number 225
_space_group_name_Hall '-F 4 2 3'
loop_
_atom_site_label
_atom_site_type_symbol
_atom_site_fract_x
_atom_site_fract_y
_atom_site_fract_z
Ga1 Ga 0.000 0.000 0.000
Te1 Te 0.000 0.000 0.500
F1 F 0.250 0.250 0.250

***

No. 2
# Zn2AgOs | the Alexandria database | GGA-PBEsol | relaxed
# Energy of formation from the pure elements = 0.16 eV per atom
# D(E_F) = 2.18 states/eV/f.u.
# Spin magnetization = 0.0 μB/f.u.
# Energy = -36.08 eV per cell
data_Zn2AgOs
_chemical_formula_sum 'Zn4 Ag2 Os2'
_cell_length_a 2.871
_cell_length_b 4.563
_cell_length_c 8.809
_cell_angle_alpha 90.00
_cell_angle_beta 90.00
_cell_angle_gamma 90.00
_space_group_name_H-M_alt 'C m m m'
_space_group_IT_number 65
_space_group_name_Hall '-C 2 2'
loop_
_atom_site_label
_atom_site_type_symbol
_atom_site_fract_x
_atom_site_fract_y
_atom_site_fract_z
Zn1 Zn 0.000 0.000 0.245
Ag1 Ag 0.000 0.500 0.500
Os1 Os 0.000 0.500 0.000

***

No. 3
# Tl2ZnPbF | the Alexandria database | GGA-PBEsol | relaxed
# Uncorrected formation energy = -65 kJ/mol of formula units
# D(E_F) = 2.08 states/eV/f.u.
# Spin magnetization = 0.0 μB/f.u.
# Energy = -13.45 eV per cell
data_Tl2ZnPbF
_chemical_formula_sum 'Tl2 Zn1 Pb1 F1'
_cell_length_a 5.953
_cell_length_b 5.953
_cell_length_c 4.540
_cell_angle_alpha 90.00
_cell_angle_beta 90.00
_cell_angle_gamma 90.00
_space_group_name_H-M_alt 'P 4/m m m'
_space_group_IT_number 123
_space_group_name_Hall '-P 4 2'
loop_
_atom_site_label
_atom_site_type_symbol
_atom_site_fract_x
_atom_site_fract_y
_atom_site_fract_z
Tl1 Tl 0.000 0.500 0.000
Zn1 Zn 0.000 0.000 0.500
Pb1 Pb 0.500 0.500 0.000
F1 F 0.500 0.500 0.500

***

No. 4
# ScRe2As | the Alexandria database | GGA-PBEsol | relaxed
# Energy of formation from the pure elements = 0.10 eV per atom
# D(E_F) = 3.87 states/eV/f.u.
# Spin magnetization = 0.0 μB/f.u.
# Energy = -113.95 eV per cell
data_ScRe2As
_chemical_formula_sum 'Sc3 Re6 As3'
_cell_length_a 2.9702
_cell_length_b 2.9702
_cell_length_c 25.3909
_cell_angle_alpha 90.00
_cell_angle_beta 90.00
_cell_angle_gamma 120.00
_space_group_name_H-M_alt 'R 3 m'
_space_group_IT_number 160
_space_group_name_Hall 'R 3 -2"'
loop_
_atom_site_label
_atom_site_type_symbol
_atom_site_fract_x
_atom_site_fract_y
_atom_site_fract_z
Sc1 Sc 0.0000 0.0000 0.0000
Re1 Re 0.0000 0.0000 0.2470
Re2 Re 0.0000 0.0000 0.5000
As1 As 0.0000 0.0000 0.7580

***

No. 5
# WAuBr3 | the Alexandria database | GGA-PBEsol | relaxed
# E above lowest polymorph = 0.0 meV/atom
# Uncorrected formation energy = 314 kJ/mol of formula units
# D(E_F) = 4.76 states/eV/f.u.
# Spin magnetization = 0.0 μB/f.u.
# Energy = -20.09 eV per cell
data_WAuBr3
_chemical_formula_sum 'W1 Au1 Br3'
_cell_length_a 4.954
_cell_length_b 4.954
_cell_length_c 4.954
_cell_angle_alpha 90.00
_cell_angle_beta 90.00
_cell_angle_gamma 90.00
_space_group_name_H-M_alt 'P m -3 m'
_space_group_IT_number 221
_space_group_name_Hall '-P 4 2 3'
loop_
_atom_site_label
_atom_site_type_symbol
_atom_site_fract_x
_atom_site_fract_y
_atom_site_fract_z
W1 W 0.000 0.000 0.000
Au1 Au 0.500 0.500 0.500
Br1 Br 0.000 0.000 0.500

***

No. 6
# InCu2Ru | the Alexandria database | GGA-PBEsol | relaxed
# Energy of formation from the pure elements = 0.29 eV per atom
# D(E_F) = 2.82 states/eV/f.u.
# Spin magnetization = 0.3 μB/f.u.
# Energy = -20.66 eV per cell
data_InCu2Ru
_chemical_formula_sum 'In1 Cu2 Ru1'
_cell_length_a 2.762
_cell_length_b 4.364
_cell_length_c 4.808
_cell_angle_alpha 90.00
_cell_angle_beta 94.53
_cell_angle_gamma 90.00
_space_group_name_H-M_alt 'P 1 2/m 1'
_space_group_IT_number 10
loop_
_space_group_symop_operation_xyz
'x,y,z'
'-x,-y,-z'
'-x,y,-z'
'x,-y,z'
loop_
_atom_site_label
_atom_site_type_symbol
_atom_site_fract_x
_atom_site_fract_y
_atom_site_fract_z
In1 In 0.000 0.000 0.000
Cu1 Cu 0.216 0.500 0.726
Ru1 Ru 0.500 0.000 0.500

***

No. 7
# BeSiCl | the Alexandria database | GGA-PBEsol | relaxed
# E above lowest polymorph = 106.1 meV/atom
# Uncorrected formation energy = 22 kJ/mol of formula units
# D(E_F) = 0.89 states/eV/f.u.
# Spin magnetization = 0.0 μB/f.u.
# Energy = -23.06 eV per cell
data_BeSiCl
_chemical_formula_sum 'Be2 Si2 Cl2'
_cell_length_a 3.245
_cell_length_b 3.245
_cell_length_c 9.800
_cell_angle_alpha 90.00
_cell_angle_beta 90.00
_cell_angle_gamma 90.00
_space_group_name_H-M_alt 'I 4 m m'
_space_group_IT_number 107
_space_group_name_Hall 'I 4 -2'
loop_
_atom_site_label
_atom_site_type_symbol
_atom_site_fract_x
_atom_site_fract_y
_atom_site_fract_z
Be1 Be 0.000 0.000 0.000
Si1 Si 0.000 0.000 0.560
Cl1 Cl 0.000 0.000 0.790

***

No. 8
# Mn3SiIr | the Alexandria database | GGA-PBEsol | relaxed
# Uncorrected formation energy = 649 kJ/mol of formula units
# D(E_F) = 5.78 states/eV/f.u.
# Spin magnetization = 12.0 μB/f.u.
# Energy = -38.13 eV per cell
data_Mn3SiIr
_chemical_formula_sum 'Mn3 Si1 Ir1'
_cell_length_a 4.681
_cell_length_b 4.681
_cell_length_c 4.681
_cell_angle_alpha 90.00
_cell_angle_beta 90.00
_cell_angle_gamma 90.00
_space_group_name_H-M_alt 'P m -3 m'
_space_group_IT_number 221
_space_group_name_Hall '-P 4 2 3'
loop_
_atom_site_label
_atom_site_type_symbol
_atom_site_fract_x
_atom_site_fract_y
_atom_site_fract_z
Mn1 Mn 0.000 0.000 0.500
Si1 Si 0.500 0.500 0.500
Ir1 Ir 0.000 0.000 0.000

***

No. 9
# CuAg3 | the Alexandria database | GGA-PBEsol | relaxed
# Energy of formation from the pure elements = 0.08 eV per atom
# D(E_F) = 1.10 states/eV/f.u.
# Spin magnetization = 0.0 μB/f.u.
# Energy = -27.89 eV per cell
data_CuAg3
_chemical_formula_sum 'Cu2 Ag6'
_cell_length_a 4.545
_cell_length_b 5.614
_cell_length_c 4.828
_cell_angle_alpha 90.00
_cell_angle_beta 90.00
_cell_angle_gamma 90.00
_space_group_name_H-M_alt 'P m m n'
_space_group_IT_number 59
loop_
_space_group_symop_operation_xyz
'x,y,z'
'-x,-y,-z'
'-x+1/2,-y+1/2,z'
'x+1/2,y+1/2,-z'
'x+1/2,-y,-z'
'-x+1/2,y,z'
'-x,y+1/2,-z'
'x,-y+1/2,z'
loop_
_atom_site_label
_atom_site_type_symbol
_atom_site_fract_x
_atom_site_fract_y
_atom_site_fract_z
Cu1 Cu 0.250 0.250 0.169
Ag1 Ag 0.250 0.001 0.668
Ag2 Ag 0.250 0.750 0.157

***

No. 10
# ReAu2Se | the Alexandria database | GGA-PBEsol | relaxed
# Uncorrected formation energy = 335 kJ/mol of formula units
# D(E_F) = 3.60 states/eV/f.u.
# Spin magnetization = 1.7 μB/f.u.
# Energy = -43.12 eV per cell
data_ReAu2Se
_chemical_formula_sum 'Re2 Au4 Se2'
_cell_length_a 3.814
_cell_length_b 3.814
_cell_length_c 9.254
_cell_angle_alpha 90.00
_cell_angle_beta 90.00
_cell_angle_gamma 90.00
_space_group_name_H-M_alt 'I 4/m m m'
_space_group_IT_number 139
_space_group_name_Hall '-I 4 2'
loop_
_atom_site_label
_atom_site_type_symbol
_atom_site_fract_x
_atom_site_fract_y
_atom_site_fract_z
Re1 Re 0.000 0.000 0.000
Au1 Au 0.000 0.500 0.250
Se1 Se 0.000 0.000 0.500

***

No. 11
# ErNiGe | the Alexandria database | GGA-PBEsol | relaxed
# Energy of formation from the pure elements = -0.78 eV per atom
# D(E_F) = 1.41 states/eV/f.u.
# Spin magnetization = 0.0 μB/f.u.
# Energy = -73.44 eV per cell
data_ErNiGe
_chemical_formula_sum 'Er4 Ni4 Ge4'
_cell_length_a 9.941
_cell_length_b 4.056
_cell_length_c 6.705
_cell_angle_alpha 90.00
_cell_angle_beta 131.56
_cell_angle_gamma 90.00
_space_group_name_H-M_alt 'C 1 2/m 1'
_space_group_IT_number 12
loop_
_space_group_symop_operation_xyz
'x,y,z'
'-x,-y,-z'
'-x,y,-z'
'x,-y,z'
'x+1/2,y+1/2,z'
'-x+1/2,-y+1/2,-z'
'-x+1/2,y+1/2,-z'
'x+1/2,-y+1/2,z'
loop_
_atom_site_label
_atom_site_type_symbol
_atom_site_fract_x
_atom_site_fract_y
_atom_site_fract_z
Er1 Er 0.052 0.000 0.313
Ni1 Ni 0.168 0.500 0.719
Ge1 Ge 0.170 0.500 0.101

***

No. 12
# Y2ZnNi | the Alexandria database | GGA-PBEsol | relaxed
# Energy of formation from the pure elements = -0.37 eV per atom
# D(E_F) = 2.70 states/eV/f.u.
# Spin magnetization = 0.0 μB/f.u.
# Energy = -22.86 eV per cell
data_Y2ZnNi
_chemical_formula_sum 'Y2 Zn1 Ni1'
_cell_length_a 3.408
_cell_length_b 3.408
_cell_length_c 6.896
_cell_angle_alpha 90.00
_cell_angle_beta 90.00
_cell_angle_gamma 90.00
_space_group_name_H-M_alt 'P 4/m m m'
_space_group_IT_number 123
_space_group_name_Hall '-P 4 2'
loop_
_atom_site_label
_atom_site_type_symbol
_atom_site_fract_x
_atom_site_fract_y
_atom_site_fract_z
Y1 Y 0.000 0.000 0.234
Zn1 Zn 0.500 0.500 0.500
Ni1 Ni 0.500 0.500 0.000

***

No. 13
# HfSc2ZnBi | the Alexandria database | GGA-PBEsol | relaxed
# Energy of formation from the pure elements = 0.75 eV per atom
# D(E_F) = 5.97 states/eV/f.u.
# Spin magnetization = 0.0 μB/f.u.
# Energy = -25.81 eV per cell
data_HfSc2ZnBi
_chemical_formula_sum 'Hf1 Sc2 Zn1 Bi1'
_cell_length_a 5.132
_cell_length_b 5.132
_cell_length_c 5.010
_cell_angle_alpha 90.00
_cell_angle_beta 90.00
_cell_angle_gamma 90.00
_space_group_name_H-M_alt 'P 4/m m m'
_space_group_IT_number 123
_space_group_name_Hall '-P 4 2'
loop_
_atom_site_label
_atom_site_type_symbol
_atom_site_fract_x
_atom_site_fract_y
_atom_site_fract_z
Hf1 Hf 0.000 0.000 0.000
Sc1 Sc 0.000 0.500 0.000
Zn1 Zn 0.000 0.000 0.500
Bi1 Bi 0.500 0.500 0.500

***

No. 14
# Ba2TaFeO6 | the Alexandria database | GGA-PBEsol | relaxed
# Uncorrected formation energy = -2500 kJ/mol of formula units
# D(E_F) = 1.09 states/eV/f.u.
# Spin magnetization = 5.0 μB/f.u.
# Energy = -332.87 eV per cell
data_Ba2TaFeO6
_chemical_formula_sum 'Ba8 Ta4 Fe4 O24'
_cell_length_a 8.098
_cell_length_b 8.098
_cell_length_c 8.098
_cell_angle_alpha 90.00
_cell_angle_beta 90.00
_cell_angle_gamma 90.00
_space_group_name_H-M_alt 'F m -3 m'
_space_group_IT_number 225
_space_group_name_Hall '-F 4 2 3'
loop_
_atom_site_label
_atom_site_type_symbol
_atom_site_fract_x
_atom_site_fract_y
_atom_site_fract_z
Ba1 Ba 0.250 0.250 0.250
Ta1 Ta 0.000 0.000 0.000
Fe1 Fe 0.000 0.000 0.500
O1 O 0.000 0.000 0.247

***

No. 15
# Ca2YW | the Alexandria database | GGA-PBEsol | relaxed
# Energy of formation from the pure elements = 0.80 eV per atom
# E above lowest polymorph = 179.3 meV/atom
# D(E_F) = 5.14 states/eV/f.u.
# Spin magnetization = 0.0 μB/f.u.
# Energy = -43.41 eV per cell
data_Ca2YW
_chemical_formula_sum 'Ca4 Y2 W2'
_cell_length_a 4.828
_cell_length_b 4.828
_cell_length_c 8.675
_cell_angle_alpha 90.00
_cell_angle_beta 90.00
_cell_angle_gamma 90.00
_space_group_name_H-M_alt 'I -4 m 2'
_space_group_IT_number 119
_space_group_name_Hall 'I -4 -2'
loop_
_atom_site_label
_atom_site_type_symbol
_atom_site_fract_x
_atom_site_fract_y
_atom_site_fract_z
Ca1 Ca 0.000 0.000 0.000
Ca2 Ca 0.000 0.500 0.250
Y1 Y 0.000 0.500 0.750
W1 W 0.000 0.000 0.500

***

No. 16
# Cs2WS4 | the Alexandria database | GGA-PBEsol | relaxed
# Uncorrected formation energy = -686 kJ/mol of formula units
# D(E_F) = 0.00 states/eV/f.u.
# Spin magnetization = 0.0 μB/f.u.
# Energy = -161.34 eV per cell
data_Cs2WS4
_chemical_formula_sum 'Cs8 W4 S16'
_cell_length_a 10.060
_cell_length_b 7.134
_cell_length_c 12.665
_cell_angle_alpha 90.00
_cell_angle_beta 90.00
_cell_angle_gamma 90.00
_space_group_name_H-M_alt 'P n m a'
_space_group_IT_number 62
loop_
_space_group_symop_operation_xyz
'x,y,z'
'-x,-y,-z'
'-x+1/2,-y,z+1/2'
'x+1/2,y,-z+1/2'
'x+1/2,-y+1/2,-z+1/2'
'-x+1/2,y+1/2,z+1/2'
'-x,y+1/2,-z'
'x,-y+1/2,z'
loop_
_atom_site_label
_atom_site_type_symbol
_atom_site_fract_x
_atom_site_fract_y
_atom_site_fract_z
Cs1 Cs 0.036 0.250 0.169
Cs2 Cs 0.155 0.750 0.397
W1 W 0.247 0.750 0.078
S1 S 0.031 0.750 0.107
S2 S 0.164 0.000 0.649
S3 S 0.212 0.250 0.408

***

No. 17
# Cd2CoP | the Alexandria database | GGA-PBEsol | relaxed
# Energy of formation from the pure elements = 0.46 eV per atom
# D(E_F) = 3.86 states/eV/f.u.
# Spin magnetization = 1.2 μB/f.u.
# Energy = -14.07 eV per cell
data_Cd2CoP
_chemical_formula_sum 'Cd2 Co1 P1'
_cell_length_a 2.858
_cell_length_b 4.940
_cell_length_c 4.643
_cell_angle_alpha 90.00
_cell_angle_beta 93.42
_cell_angle_gamma 90.00
_space_group_name_H-M_alt 'P 1 2/m 1'
_space_group_IT_number 10
loop_
_space_group_symop_operation_xyz
'x,y,z'
'-x,-y,-z'
'-x,y,-z'
'x,-y,z'
loop_
_atom_site_label
_atom_site_type_symbol
_atom_site_fract_x
_atom_site_fract_y
_atom_site_fract_z
Cd1 Cd 0.236 0.000 0.255
Co1 Co 0.500 0.500 0.500
P1 P 0.000 0.500 0.000

***

No. 18
# CsBeAs2Se | the Alexandria database | GGA-PBEsol | relaxed
# Uncorrected formation energy = 69 kJ/mol of formula units
# D(E_F) = 3.37 states/eV/f.u.
# Spin magnetization = 0.0 μB/f.u.
# Energy = -18.29 eV per cell
data_CsBeAs2Se
_chemical_formula_sum 'Cs1 Be1 As2 Se1'
_cell_length_a 4.716
_cell_length_b 4.716
_cell_length_c 5.030
_cell_angle_alpha 90.00
_cell_angle_beta 90.00
_cell_angle_gamma 90.00
_space_group_name_H-M_alt 'P 4/m m m'
_space_group_IT_number 123
_space_group_name_Hall '-P 4 2'
loop_
_atom_site_label
_atom_site_type_symbol
_atom_site_fract_x
_atom_site_fract_y
_atom_site_fract_z
Cs1 Cs 0.000 0.000 0.000
Be1 Be 0.500 0.500 0.500
As1 As 0.000 0.500 0.500
Se1 Se 0.500 0.500 0.000

***

No. 19
# HoNi2P2 | the Alexandria database | GGA-PBEsol | relaxed
# Energy of formation from the pure elements = -1.11 eV per atom
# D(E_F) = 1.61 states/eV/f.u.
# Spin magnetization = 0.0 μB/f.u.
# Energy = -68.78 eV per cell
data_HoNi2P2
_chemical_formula_sum 'Ho2 Ni4 P4'
_cell_length_a 3.815
_cell_length_b 3.815
_cell_length_c 9.253
_cell_angle_alpha 90.00
_cell_angle_beta 90.00
_cell_angle_gamma 90.00
_space_group_name_H-M_alt 'I 4/m m m'
_space_group_IT_number 139
_space_group_name_Hall '-I 4 2'
loop_
_atom_site_label
_atom_site_type_symbol
_atom_site_fract_x
_atom_site_fract_y
_atom_site_fract_z
Ho1 Ho 0.000 0.000 0.000
Ni1 Ni 0.000 0.500 0.250
P1 P 0.000 0.000 0.377

***

No. 20
# FeRuPt2 | the Alexandria database | GGA-PBEsol | relaxed
# Energy of formation from the pure elements = -0.05 eV per atom
# D(E_F) = 4.17 states/eV/f.u.
# Spin magnetization = 3.9 μB/f.u.
# Energy = -66.54 eV per cell
data_FeRuPt2
_chemical_formula_sum 'Fe2 Ru2 Pt4'
_cell_length_a 5.337
_cell_length_b 7.737
_cell_length_c 2.678
_cell_angle_alpha 90.00
_cell_angle_beta 90.00
_cell_angle_gamma 90.00
_space_group_name_H-M_alt 'C m m m'
_space_group_IT_number 65
_space_group_name_Hall '-C 2 2'
loop_
_atom_site_label
_atom_site_type_symbol
_atom_site_fract_x
_atom_site_fract_y
_atom_site_fract_z
Fe1 Fe 0.000 0.000 0.000
Ru1 Ru 0.000 0.500 0.000
Pt1 Pt 0.250 0.250 0.500